(1)
KSiAg2Te4: relaxed, PBE.

Unit cell a=7.5290 b=7.0080 c=7.0080 alpha=81.14 beta=57.51 gamma=57.51
Last column: nearest neighbours and their distance in Å.
Fractional coordinates of all 8 atoms:
Si: 0.0000 0.5000 0.5000  4 Te 2.53
Te: 0.9997 0.8519 0.5435  1 Si 2.53
Te: 0.3951 0.1481 0.4565  1 Si 2.53
Te: 0.0003 0.4565 0.1481  1 Si 2.53
Te: 0.6049 0.5435 0.8519  1 Si 2.53
Ag: 0.5000 0.7481 0.2519  4 Te 2.85-2.86
Ag: 0.5000 0.2519 0.7481  4 Te 2.85-2.86
K: 0.0000 0.0000 0.0000  8 Te 3.51-3.79

## Properties
ΔE_f (raw)	-0.270	eV per atom
magnetic moment	0.000	μB/atom
DOS at the Fermi energy	3.52	states/eV per cell
calculated density	5.10	g/cm3
total energy	-3.369	eV per atom

***

(2)
KSi2AgTe6: relaxed, PBE.

Unit cell a=6.8260 b=10.5243 c=10.5243 alpha=86.89 beta=81.35 gamma=81.35
Last column: nearest neighbours and their distance in Å.
Fractional coordinates of all 20 atoms:
Ag: 0.2500 0.3200 0.6800  2 Te 2.70
Ag: 0.7500 0.6800 0.3200  2 Te 2.70
Te: 0.2371 0.2180 0.0344  1 Si 2.48
Te: 0.0176 0.7082 0.5695  2 Si 2.55-2.56
Te: 0.0361 0.5908 0.1271  1 Si 2.61, 1 Ag 2.70
Te: 0.9639 0.4092 0.8729  1 Si 2.61, 1 Ag 2.70
Te: 0.5361 0.1271 0.5908  1 Si 2.61, 1 Ag 2.70
Te: 0.9824 0.2918 0.4305  2 Si 2.55-2.56
Te: 0.7371 0.0344 0.2180  1 Si 2.48
Te: 0.4639 0.8729 0.4092  1 Si 2.61, 1 Ag 2.70
Te: 0.2629 0.9656 0.7820  1 Si 2.48
Te: 0.4824 0.4305 0.2918  2 Si 2.55-2.56
Te: 0.7629 0.7820 0.9656  1 Si 2.48
Te: 0.5176 0.5695 0.7082  2 Si 2.55-2.56
Si: 0.8265 0.6354 0.7823  4 Te 2.48-2.61
Si: 0.6735 0.2177 0.3646  4 Te 2.48-2.61
Si: 0.3265 0.7823 0.6354  4 Te 2.48-2.61
Si: 0.1735 0.3646 0.2177  4 Te 2.48-2.61
K: 0.7500 0.1251 0.8749  6 Te 3.52-3.68
K: 0.2500 0.8749 0.1251  6 Te 3.52-3.68

## Properties
ΔE_f (raw)	-0.135	eV per atom
magnetic moment	0.000	μB/atom
calculated density	4.36	g/cm3
total energy	-3.500	eV per atom

***

(3)
KVSi2Ag: relaxed, PBE.

Unit cell a=4.7014 b=5.3420 c=4.7014 alpha=90.00 beta=90.00 gamma=90.00
Last column: nearest neighbours and their distance in Å.
Fractional coordinates of all 5 atoms:
Si: 0.0000 0.0000 0.5000  2 V 2.35
Si: 0.5000 0.0000 0.0000  2 V 2.35
V: 0.0000 0.0000 0.0000  4 Si 2.35
Ag: 0.0000 0.5000 0.0000  2 V 2.67
K: 0.5000 0.5000 0.5000  4 Ag 3.32, 8 Si 3.56

## Properties
ΔE_f (raw)	0.394	eV per atom
magnetic moment	0.220	μB/atom
DOS at the Fermi energy	3.22	states/eV per cell
calculated density	3.57	g/cm3
total energy	-4.388	eV per atom

***

(4)
K2SiAgW: relaxed, PBE.

Unit cell a=6.3517 b=4.8024 c=6.3517 alpha=90.00 beta=90.00 gamma=90.00
Last column: nearest neighbours and their distance in Å.
Fractional coordinates of all 5 atoms:
W: 0.0000 0.5000 0.0000  2 Si 2.40
Si: 0.0000 0.0000 0.0000  2 W 2.40
Ag: 0.5000 0.5000 0.5000  8 K 3.98
K: 0.5000 0.0000 0.0000  2 Si 3.18
K: 0.0000 0.0000 0.5000  2 Si 3.18

## Properties
ΔE_f (raw)	1.072	eV per atom
magnetic moment	0.622	μB/atom
DOS at the Fermi energy	1.45	states/eV per cell
calculated density	3.41	g/cm3
total energy	-3.612	eV per atom

***

(5)
K2ZrSiAg: relaxed, PBE.

Unit cell a=6.6340 b=5.2772 c=6.6340 alpha=90.00 beta=90.00 gamma=90.00
Last column: nearest neighbours and their distance in Å.
Fractional coordinates of all 5 atoms:
K: 0.5000 0.0000 0.0000  2 Zr 3.32
K: 0.0000 0.0000 0.5000  2 Zr 3.32
Zr: 0.0000 0.0000 0.0000  2 Ag 2.64
Ag: 0.0000 0.5000 0.0000  2 Zr 2.64
Si: 0.5000 0.5000 0.5000  8 K 4.24, 4 Ag 4.69

## Properties
ΔE_f (raw)	1.458	eV per atom
magnetic moment	0.200	μB/atom
DOS at the Fermi energy	2.90	states/eV per cell
calculated density	2.18	g/cm3
total energy	-2.346	eV per atom

***

(6)
KSmAg10: relaxed, PBE.

Unit cell a=4.7028 b=5.6416 c=9.9240 alpha=90.00 beta=90.00 gamma=90.00
Last column: nearest neighbours and their distance in Å.
Fractional coordinates of all 12 atoms:
K: 0.0000 0.0000 0.0000  10 Ag 3.32-3.67
Ag: 0.5000 0.5000 0.0000  8 Ag 2.92-2.94
Ag: 0.5000 0.7441 0.2590  8 Ag 2.75-2.92
Ag: 0.5000 0.0000 0.5000  8 Ag 2.79-2.83
Ag: 0.0000 0.0000 0.6595  7 Ag 2.83-3.17
Ag: 0.0000 0.0000 0.3405  7 Ag 2.83-3.17
Ag: 0.0000 0.5000 0.1771  6 Ag 2.84-2.94
Ag: 0.5000 0.7441 0.7410  8 Ag 2.75-2.92
Ag: 0.0000 0.5000 0.8229  6 Ag 2.84-2.94
Ag: 0.5000 0.2559 0.7410  8 Ag 2.75-2.92
Ag: 0.5000 0.2559 0.2590  8 Ag 2.75-2.92
Sm: 0.0000 0.5000 0.5000  6 Ag 3.20-3.23

## Properties
formation energy from the elements	-0.04	eV/atom
magnetic moment	0.000	μB/atom
DOS at the Fermi energy	6.10	states/eV per cell
calculated density	8.00	g/cm3
total energy	-2.904	eV per atom

***

(7)
KSmAg4: relaxed, PBE.

Unit cell a=5.8390 b=5.8390 c=5.8390 alpha=60.00 beta=60.00 gamma=60.00
Last column: nearest neighbours and their distance in Å.
Fractional coordinates of all 6 atoms:
K: 0.0000 0.0000 0.0000  12 Ag 3.42, 4 Sm 3.58
Ag: 0.6251 0.6251 0.6251  6 Ag 2.92
Ag: 0.1248 0.6251 0.6251  6 Ag 2.92
Ag: 0.6251 0.6251 0.1248  6 Ag 2.92
Ag: 0.6251 0.1248 0.6251  6 Ag 2.92
Sm: 0.2500 0.2500 0.2500  12 Ag 3.42, 4 K 3.58

## Properties
formation energy from the elements	0.04	eV/atom
magnetic moment	0.000	μB/atom
DOS at the Fermi energy	8.18	states/eV per cell
calculated density	7.32	g/cm3
total energy	-2.834	eV per atom

***

(8)
KSmAg2: relaxed, PBE.

Unit cell a=3.8332 b=3.8332 c=8.2098 alpha=90.00 beta=90.00 gamma=90.00
Last column: nearest neighbours and their distance in Å.
Fractional coordinates of all 4 atoms:
Sm: 0.5000 0.5000 0.0000  8 Ag 3.12
K: 0.5000 0.5000 0.5000  8 Ag 3.73, 4 K 3.83, 2 Sm 4.10
Ag: 0.0000 0.0000 0.1875  1 Ag 3.08, 4 Sm 3.12
Ag: 0.0000 0.0000 0.8125  1 Ag 3.08, 4 Sm 3.12

## Properties
formation energy from the elements	-0.11	eV/atom
magnetic moment	0.000	μB/atom
DOS at the Fermi energy	1.66	states/eV per cell
calculated density	5.58	g/cm3
total energy	-2.988	eV per atom

***

(9)
KSmAgTe2: relaxed, PBE.

Unit cell a=4.9399 b=8.2831 c=8.8040 alpha=96.17 beta=90.00 gamma=90.00
Last column: nearest neighbours and their distance in Å.
Fractional coordinates of all 10 atoms:
Sm: 0.4955 0.0000 0.2500  4 Te 3.10-3.11, 4 Ag 3.29-3.33
Sm: 0.5045 0.0000 0.7500  4 Te 3.10-3.11, 4 Ag 3.29-3.33
Ag: 0.0000 0.0000 0.0000  2 Te 2.81
Ag: 0.0000 0.0000 0.5000  2 Te 2.81
Te: 0.3768 0.2551 0.0245  1 Ag 2.81, 2 Sm 3.10-3.11
Te: 0.6232 0.7449 0.9755  1 Ag 2.81, 2 Sm 3.10-3.11
Te: 0.6232 0.2551 0.5245  1 Ag 2.81, 2 Sm 3.10-3.11
Te: 0.3768 0.7449 0.4755  1 Ag 2.81, 2 Sm 3.10-3.11
K: 0.8969 0.5000 0.2500  6 Te 3.58-3.71
K: 0.1031 0.5000 0.7500  6 Te 3.58-3.71

## Properties
ΔE_f (raw)	-0.821	eV per atom
magnetic moment	0.000	μB/atom
DOS at the Fermi energy	4.04	states/eV per cell
calculated density	5.12	g/cm3
total energy	-3.811	eV per atom

***

(10)
KAg12Sn4: relaxed, PBE.

Unit cell a=8.2576 b=8.2576 c=8.2576 alpha=109.47 beta=109.47 gamma=109.47
Last column: nearest neighbours and their distance in Å.
Fractional coordinates of all 17 atoms:
Ag: 0.7915 0.1475 0.6440  2 Ag 2.75-2.81, 2 Sn 2.77
Ag: 0.5036 0.1475 0.3560  2 Ag 2.75-2.81, 2 Sn 2.77
Ag: 0.6440 0.4964 0.8525  2 Ag 2.75-2.81, 2 Sn 2.77
Ag: 0.1475 0.3560 0.5036  2 Ag 2.75-2.81, 2 Sn 2.77
Ag: 0.1475 0.6440 0.7915  2 Ag 2.75-2.81, 2 Sn 2.77
Ag: 0.2085 0.8525 0.3560  2 Ag 2.75-2.81, 2 Sn 2.77
Ag: 0.8525 0.3560 0.2085  2 Ag 2.75-2.81, 2 Sn 2.77
Ag: 0.8525 0.6440 0.4964  2 Ag 2.75-2.81, 2 Sn 2.77
Ag: 0.6440 0.7915 0.1475  2 Ag 2.75-2.81, 2 Sn 2.77
Ag: 0.3560 0.2085 0.8525  2 Ag 2.75-2.81, 2 Sn 2.77
Ag: 0.3560 0.5036 0.1475  2 Ag 2.75-2.81, 2 Sn 2.77
Ag: 0.4964 0.8525 0.6440  2 Ag 2.75-2.81, 2 Sn 2.77
K: 0.0000 0.0000 0.0000  12 Ag 3.67
Sn: 0.0000 0.5000 0.0000  6 Ag 2.77
Sn: 0.5000 0.5000 0.5000  6 Ag 2.77
Sn: 0.0000 0.0000 0.5000  6 Ag 2.77
Sn: 0.5000 0.0000 0.0000  6 Ag 2.77

## Properties
formation energy from the elements	0.30	eV/atom
magnetic moment	0.000	μB/atom
DOS at the Fermi energy	8.42	states/eV per cell
calculated density	6.93	g/cm3
total energy	-2.722	eV per atom